Entry from Alexandria via LeMat-Bulk: an optimized crystal structure of AuS3I (PBE).

ρ: 6.0 g cm⁻³
relative energy among the computed polymorphs: 0.0 meV/atom

CIF file:
```
data_AuS3I
_cell_length_a 4.8672
_cell_length_b 4.8672
_cell_length_c 4.8672
_cell_angle_alpha 90.00
_cell_angle_beta 90.00
_cell_angle_gamma 90.00
_symmetry_space_group_name_H-M 'P m -3 m'
_symmetry_Int_Tables_number 221
_symmetry_space_group_name_Hall '-P 4 2 3'
loop_
_atom_site_label
_atom_site_type_symbol
_atom_site_fract_x
_atom_site_fract_y
_atom_site_fract_z
Au1 Au 0.0000 0.0000 0.0000
S1 S 0.0000 0.0000 0.5000
I1 I 0.5000 0.5000 0.5000
```

Entry from Alexandria via LeMat-Bulk: an optimized crystal structure of SrCuBr2F (PBE).

ρ: 4.6 g cm⁻³

CIF file:
```
data_SrCuBr2F
_cell_length_a 5.6563
_cell_length_b 5.6563
_cell_length_c 3.7562
_cell_angle_alpha 90.00
_cell_angle_beta 90.00
_cell_angle_gamma 90.00
_symmetry_space_group_name_H-M 'P 4/m m m'
_symmetry_Int_Tables_number 123
_symmetry_space_group_name_Hall '-P 4 2'
loop_
_atom_site_label
_atom_site_type_symbol
_atom_site_fract_x
_atom_site_fract_y
_atom_site_fract_z
Sr1 Sr 0.0000 0.0000 0.0000
Cu1 Cu 0.5000 0.5000 0.0000
Br1 Br 0.0000 0.5000 0.5000
F1 F 0.5000 0.5000 0.5000
```

no.,total magnetization (Bohr magnetons per cell),ΔE_f (raw) (eV/atom)
1,0.000,0.807
2,0.000,-1.266